Computed, not measured: a PBEsol-optimized structure of LaCo2 at the meta-GGA SCAN level of DFT.

Magnetic moment = 4.742 μB per cell
Crystal system = orthorhombic
E = -25.7367 eV per atom

abc: 3.6682 3.8764 7.6237
angles: 90.00 103.92 90.00
Fractional coordinates of all 6 atoms:
1 Co 0.7504 0.7500 0.5009
2 Co 0.8459 0.2500 0.6918
3 Co 0.1541 0.7500 0.3082
4 Co 0.2496 0.2500 0.4991
5 La 0.4084 0.7500 0.8168
6 La 0.5916 0.2500 0.1832

***

Computed, not measured: a PBEsol-optimized structure of CsGa2Au at the meta-GGA SCAN level of DFT.

Magnetic moment = 0.000 μB per cell
Crystal system = cubic
E = -34.5401 eV per atom

abc: 5.1287 5.1287 5.1287
angles: 60.00 60.00 60.00
Fractional coordinates of all 4 atoms:
1 Cs 0.0000 0.0000 0.0000
2 Au 0.5000 0.5000 0.5000
3 Ga 0.2500 0.2500 0.2500
4 Ga 0.7500 0.7500 0.7500

***

Computed, not measured: a PBEsol-optimized structure of BiSCl2 at the meta-GGA SCAN level of DFT.

Magnetic moment = 1.003 μB per cell
Crystal system = cubic
E = -25.8885 eV per atom
E_form (uncorrected) = 0.15 eV/atom

abc: 4.8798 4.8798 4.8798
angles: 60.00 60.00 60.00
Fractional coordinates of all 4 atoms:
1 S 0.0000 0.0000 0.0000
2 Bi 0.5000 0.5000 0.5000
3 Cl 0.2500 0.2500 0.2500
4 Cl 0.7500 0.7500 0.7500

***

Computed, not measured: a PBEsol-optimized structure of Nb3GaSi at the meta-GGA SCAN level of DFT.

Magnetic moment = 1.498 μB per cell
Crystal system = cubic
E = -24.0601 eV per atom
E_form (uncorrected) = 1.09 eV/atom

abc: 4.6540 4.6540 4.6540
angles: 90.00 90.00 90.00
Fractional coordinates of all 5 atoms:
1 Nb 0.0000 0.5000 0.0000
2 Nb 0.0000 0.0000 0.5000
3 Nb 0.5000 0.0000 0.0000
4 Si 0.5000 0.5000 0.5000
5 Ga 0.0000 0.0000 0.0000

***

Computed, not measured: a PBEsol-optimized structure of Hf2CrCdN at the meta-GGA SCAN level of DFT.

Magnetic moment = 4.555 μB per cell
Crystal system = tetragonal
E = -34.4387 eV per atom
E_form (uncorrected) = 2.25 eV/atom

abc: 4.7152 5.0867 5.0867
angles: 90.00 90.00 90.00
Fractional coordinates of all 5 atoms:
1 Cr 0.5000 0.0000 0.0000
2 N 0.5000 0.5000 0.5000
3 Hf 0.0000 0.0000 0.5000
4 Hf 0.0000 0.5000 0.0000
5 Cd 0.0000 0.0000 0.0000

***

Computed, not measured: a PBEsol-optimized structure of Ca2YAg at the meta-GGA SCAN level of DFT.

Polymorph energy (0 for the lowest one) = 0 meV per atom
Magnetic moment = 0.391 μB per cell
Crystal system = tetragonal
E = -19.7897 eV per atom

abc: 3.6387 3.6387 9.2622
angles: 90.00 90.00 90.00
Fractional coordinates of all 4 atoms:
1 Y 0.0000 0.0000 0.5624
2 Ca 0.0000 0.0000 0.9387
3 Ca 0.5000 0.5000 0.2642
4 Ag 0.5000 0.5000 0.7347

***

Computed, not measured: a PBEsol-optimized structure of Li4SbMo at the meta-GGA SCAN level of DFT.

Magnetic moment = 2.950 μB per cell
Crystal system = cubic
E = -13.3914 eV per atom
E_form (uncorrected) = 0.23 eV/atom

abc: 4.9950 4.9950 4.9950
angles: 60.00 60.00 60.00
Fractional coordinates of all 6 atoms:
1 Li 0.3765 0.3765 0.3765
2 Li 0.3765 0.3765 0.8705
3 Li 0.8705 0.3765 0.3765
4 Li 0.3765 0.8705 0.3765
5 Mo 0.7500 0.7500 0.7500
6 Sb 0.0000 0.0000 0.0000

***

Computed, not measured: a PBEsol-optimized structure of Cs3HPb at the meta-GGA SCAN level of DFT.

Magnetic moment = 0.026 μB per cell
Crystal system = cubic
E = -38.6771 eV per atom

abc: 5.9709 5.9709 5.9709
angles: 90.00 90.00 90.00
Fractional coordinates of all 5 atoms:
1 Pb 0.5000 0.5000 0.5000
2 Cs 0.0000 0.5000 0.0000
3 Cs 0.0000 0.0000 0.5000
4 Cs 0.5000 0.0000 0.0000
5 H 0.0000 0.0000 0.0000